SmTmGaOs after structural relaxation. Source: the Alexandria database, functional PBE-GGA.

The value obtained for the density of states at the Fermi level is 10.607 states/eV/cell. The energy relative to the elements comes out at -7.32 kcal/mol of atoms.

The space group is F-43m (No. 216) and the conventional cell measures 6.997, 6.997 and 6.997 Å, with angles of 90.00, 90.00 and 90.00 degrees. The distinct sites, in fractional coordinates, are Sm at (0.000, 0.000, 0.000), Tm at (0.000, 0.000, 0.500), Ga at (0.250, 0.250, 0.750) and Os at (0.250, 0.250, 0.250).